No. 1
A geometry-optimized Co2SiAg2 structure. Source: the Alexandria database, functional PBE.

Lattice parameters (Å, degrees): 5.7239 5.7239 4.3821 90.00 90.00 90.00
Positions (direct):
Co1 0.1385 0.3615 0.0000
Co2 0.3615 0.8615 0.0000
Co3 0.6385 0.1385 0.0000
Co4 0.8615 0.6385 0.0000
Si1 0.0000 0.0000 0.0000
Si2 0.5000 0.5000 0.0000
Ag1 0.1736 0.6736 0.5000
Ag2 0.3264 0.1736 0.5000
Ag3 0.6736 0.8264 0.5000
Ag4 0.8264 0.3264 0.5000

## Properties
Symmetry: P4/mbm
Spin magnetization in μB/f.u.: 0.66
Crystal system: tetragonal
E_form (uncorrected) in eV per atom: 0.0983
DOS(E_F) in states/eV per atom: 0.777

---

No. 2
A geometry-optimized LiMnAs structure. Source: the Alexandria database, functional PBE.

Lattice parameters (Å, degrees): 2.9414 2.9414 6.4118 90.00 90.00 120.00
Positions (direct):
Li1 0.0000 0.0000 0.0000
Mn1 0.6667 0.3333 0.3617
As1 0.3333 0.6667 0.6583

## Properties
Symmetry: P3m1
Excess energy over the best structure of this formula in the dataset in meV per atom: 534
Spin magnetization in μB/f.u.: 3.23
Crystal system: trigonal
Calculated formation energy in meV/atom: 70
DOS(E_F) in states/eV per atom: 0.724

---

No. 3
A geometry-optimized Ti6NbIn structure. Source: the Alexandria database, functional PBE.

Lattice parameters (Å, degrees): 8.0173 8.0173 8.0173 33.99 33.99 33.99
Positions (direct):
Ti1 0.1208 0.1208 0.1208
Ti2 0.2499 0.2499 0.2499
Ti3 0.3698 0.3698 0.3698
Ti4 0.6302 0.6302 0.6302
Ti5 0.7501 0.7501 0.7501
Ti6 0.8792 0.8792 0.8792
Nb1 0.0000 0.0000 0.0000
In1 0.5000 0.5000 0.5000

## Properties
Symmetry: R-3m
Excess energy over the best structure of this formula in the dataset in meV per atom: 12
Spin magnetization in μB/f.u.: 4.41
Crystal system: trigonal
Calculated formation energy in meV/atom: 3
DOS(E_F) in states/eV per atom: 1.445

---

No. 4
A geometry-optimized B2C structure. Source: the Alexandria database, functional PBE.

Lattice parameters (Å, degrees): 2.5501 2.5501 14.9779 90.00 90.00 120.00
Positions (direct):
B1 0.0000 0.0000 0.0000
B2 0.0000 0.0000 0.1123
B3 0.0000 0.0000 0.6164
B4 0.3333 0.6667 0.1845
B5 0.3333 0.6667 0.2964
B6 0.6667 0.3333 0.3691
B7 0.6667 0.3333 0.8113
B8 0.6667 0.3333 0.9245
C1 0.0000 0.0000 0.5099
C2 0.3333 0.6667 0.6665
C3 0.3333 0.6667 0.7602
C4 0.6667 0.3333 0.4746

## Properties
Symmetry: P3m1
Excess energy over the best structure of this formula in the dataset in meV per atom: 349
Spin magnetization in μB/f.u.: 0.00
Crystal system: trigonal
Calculated formation energy in meV/atom: 535
DOS(E_F) in states/eV per atom: 0.155

---

No. 5
A geometry-optimized Sr2HCl structure. Source: the Alexandria database, functional PBE.

Lattice parameters (Å, degrees): 5.3095 5.3095 5.3095 60.00 60.00 60.00
Positions (direct):
Sr1 0.2500 0.2500 0.2500
Sr2 0.7500 0.7500 0.7500
H1 0.0000 0.0000 0.0000
Cl1 0.5000 0.5000 0.5000

## Properties
Symmetry: Fm-3m
Excess energy over the best structure of this formula in the dataset in meV per atom: 405
Spin magnetization in μB/f.u.: 1.41
Crystal system: cubic
DOS(E_F) in states/eV per atom: 0.922

---

No. 6
A geometry-optimized YAl2GaAu5 structure. Source: the Alexandria database, functional PBE.

Lattice parameters (Å, degrees): 7.8076 7.8076 7.8076 144.78 135.77 57.76
Positions (direct):
Y1 0.0000 0.0000 0.0000
Al1 0.3130 0.8130 0.5000
Al2 0.6870 0.1870 0.5000
Ga1 0.5000 0.5000 0.0000
Au1 0.0824 0.3413 0.7412
Au2 0.3999 0.6587 0.7412
Au3 0.5000 0.0000 0.5000
Au4 0.6001 0.3413 0.2588
Au5 0.9176 0.6587 0.2588

## Properties
Symmetry: Immm
Spin magnetization in μB/f.u.: 0.00
Crystal system: orthorhombic
Calculated formation energy in meV/atom: -278
DOS(E_F) in states/eV per atom: 0.342

---

No. 7
A geometry-optimized La4Pb2SeS structure. Source: the Alexandria database, functional PBE.

Lattice parameters (Å, degrees): 7.7606 4.4323 7.7960 90.00 109.07 90.00
Positions (direct):
La1 0.2369 0.0000 0.2278
La2 0.2519 0.5000 0.7680
La3 0.7481 0.5000 0.2320
La4 0.7631 0.0000 0.7722
Pb1 0.0000 0.0000 0.5000
Pb2 0.5000 0.5000 0.5000
Se1 0.5000 0.0000 0.0000
S1 0.0000 0.5000 0.0000

## Properties
Symmetry: P2/m
Spin magnetization in μB/f.u.: 0.00
Crystal system: monoclinic
E_form (uncorrected) in eV per atom: -1.2749
DOS(E_F) in states/eV per atom: 0.666

---

No. 8
A geometry-optimized PaCrRe structure. Source: the Alexandria database, functional PBE.

Lattice parameters (Å, degrees): 3.9842 3.9842 4.1751 90.00 90.00 120.00
Positions (direct):
Pa1 0.0000 0.0000 0.0000
Cr1 0.6667 0.3333 0.4228
Re1 0.3333 0.6667 0.5670

## Properties
Symmetry: P3m1
Excess energy over the best structure of this formula in the dataset in meV per atom: 334
Spin magnetization in μB/f.u.: 0.00
Crystal system: trigonal
Calculated formation energy in meV/atom: 279
DOS(E_F) in states/eV per atom: 1.563

---

No. 9
A geometry-optimized SnPF3 structure. Source: the Alexandria database, functional PBE.

Lattice parameters (Å, degrees): 4.4753 4.4753 4.4753 90.00 90.00 90.00
Positions (direct):
Sn1 0.0000 0.0000 0.0000
P1 0.5000 0.5000 0.5000
F1 0.0000 0.0000 0.5000
F2 0.0000 0.5000 0.0000
F3 0.5000 0.0000 0.0000

## Properties
Symmetry: Pm-3m
Excess energy over the best structure of this formula in the dataset in meV per atom: 0
Spin magnetization in μB/f.u.: 2.54
Crystal system: cubic
E_form (uncorrected) in eV per atom: -1.0778
DOS(E_F) in states/eV per atom: 0.683

---

No. 10
A geometry-optimized SrSnAsO6 structure. Source: the Alexandria database, functional PBE.

Lattice parameters (Å, degrees): 5.2627 5.2627 10.7749 90.00 90.00 120.00
Positions (direct):
Sr1 0.0000 0.0000 0.0000
Sr2 0.0000 0.0000 0.5000
Sn1 0.3333 0.6667 0.2500
Sn2 0.6667 0.3333 0.7500
As1 0.3333 0.6667 0.7500
As2 0.6667 0.3333 0.2500
O1 0.0323 0.3909 0.6498
O2 0.0323 0.6414 0.8502
O3 0.3586 0.3909 0.8502
O4 0.3586 0.9677 0.6498
O5 0.3909 0.0323 0.1498
O6 0.3909 0.3586 0.3502
O7 0.6091 0.6414 0.6498
O8 0.6091 0.9677 0.8502
O9 0.6414 0.0323 0.3502
O10 0.6414 0.6091 0.1498
O11 0.9677 0.3586 0.1498
O12 0.9677 0.6091 0.3502

## Properties
Symmetry: P-31c
Spin magnetization in μB/f.u.: 1.07
Crystal system: trigonal
E_form (uncorrected) in eV per atom: -1.6576
DOS(E_F) in states/eV per atom: 0.812

---

No. 11
A geometry-optimized Pr3Ga2Ag structure. Source: the Alexandria database, functional PBE.

Lattice parameters (Å, degrees): 5.2977 5.2977 13.0626 90.00 90.00 120.00
Positions (direct):
Pr1 0.0000 0.0000 0.2441
Pr2 0.0000 0.0000 0.7559
Pr3 0.3333 0.6667 0.4146
Pr4 0.3333 0.6667 0.9200
Pr5 0.6667 0.3333 0.0800
Pr6 0.6667 0.3333 0.5854
Ga1 0.0000 0.0000 0.0000
Ga2 0.0000 0.0000 0.5000
Ga3 0.3333 0.6667 0.1702
Ga4 0.6667 0.3333 0.8298
Ag1 0.3333 0.6667 0.6695
Ag2 0.6667 0.3333 0.3305

## Properties
Symmetry: P-3m1
Excess energy over the best structure of this formula in the dataset in meV per atom: 13
Spin magnetization in μB/f.u.: 0.00
Crystal system: trigonal
Calculated formation energy in meV/atom: -433
DOS(E_F) in states/eV per atom: 1.226

---

No. 12
A geometry-optimized Fe2CoOs structure. Source: the Alexandria database, functional PBE.

Lattice parameters (Å, degrees): 2.7716 2.7716 6.2748 90.00 90.00 90.00
Positions (direct):
Fe1 0.0000 0.0000 0.0000
Fe2 0.5000 0.5000 0.2368
Co1 0.5000 0.5000 0.7755
Os1 0.0000 0.0000 0.4958

## Properties
Symmetry: P4mm
Spin magnetization in μB/f.u.: 5.90
Crystal system: tetragonal
Calculated formation energy in meV/atom: 117
DOS(E_F) in states/eV per atom: 0.864

---

| no. | volume (Å³/cell) |
| --- | --- |
| 1 | 144 |
| 2 | 48 |
| 3 | 144 |
| 4 | 84 |
| 5 | 106 |
| 6 | 190 |
| 7 | 253 |
| 8 | 57 |
| 9 | 90 |
| 10 | 258 |
| 11 | 317 |
| 12 | 48 |